1.
The following is a PBE calculation of an optimized crystal structure of Li2NiRu, from the Alexandria database.

a b c (Å): 2.4875 2.4875 8.2706
angles (deg): 90.00 90.00 90.00
Closest atoms and distances in Å follow each position.
Element x y z (fractional)
Ru 0.5000 0.5000 0.7500  4 Ru 2.49
Ni 0.5000 0.5000 0.2500  4 Ni 2.49, 8 Li 2.63
Li 0.0000 0.0000 0.0142  4 Li 2.49, 4 Ni 2.63
Li 0.0000 0.0000 0.4858  4 Li 2.49, 4 Ni 2.63

## Properties
volume = 51 Å³/cell
ΔH_f (0 K) = 0.17 eV/atom
symmetry = No. 123


2.
The following is a PBE calculation of an optimized crystal structure of Ac2HoAl, from the Alexandria database.

a b c (Å): 5.7514 5.7514 5.7514
angles (deg): 60.00 60.00 60.00
Closest atoms and distances in Å follow each position.
Element x y z (fractional)
Ho 0.0000 0.0000 0.0000  8 Ac 3.52
Ac 0.2500 0.2500 0.2500  4 Ho 3.52, 4 Al 3.52
Ac 0.7500 0.7500 0.7500  4 Ho 3.52, 4 Al 3.52
Al 0.5000 0.5000 0.5000  8 Ac 3.52

## Properties
volume = 135 Å³/cell
ΔH_f (0 K) = 0.02 eV/atom
symmetry = No. 225


3.
The following is a PBE calculation of an optimized crystal structure of Cr2SiRh, from the Alexandria database.

a b c (Å): 6.6496 6.6496 5.3041
angles (deg): 51.18 51.18 90.00
Closest atoms and distances in Å follow each position.
Element x y z (fractional)
Cr 0.8750 0.8669 0.7500  2 Si 2.39, 2 Cr 2.46, 2 Rh 2.47
Cr 0.3750 0.3831 0.7500  2 Si 2.39, 2 Cr 2.46, 2 Rh 2.47
Cr 0.6169 0.1250 0.2500  2 Si 2.39, 2 Cr 2.46, 2 Rh 2.47
Cr 0.1331 0.6250 0.2500  2 Si 2.39, 2 Cr 2.46, 2 Rh 2.47
Rh 0.7500 0.2500 0.5000  2 Si 2.45, 4 Cr 2.47
Rh 0.0000 0.0000 0.0000  2 Si 2.45, 4 Cr 2.47
Si 0.2500 0.7500 0.5000  4 Cr 2.39, 2 Rh 2.45
Si 0.5000 0.5000 0.0000  4 Cr 2.39, 2 Rh 2.45

## Properties
E_form (uncorrected) = 0.3670 eV/atom
volume = 109 Å³/cell
symmetry = No. 122


4.
The following is a PBE calculation of an optimized crystal structure of TaAl2Se, from the Alexandria database.

a b c (Å): 5.2456 5.2456 5.2456
angles (deg): 135.77 135.77 64.34
Closest atoms and distances in Å follow each position.
Element x y z (fractional)
Se 0.5000 0.5000 0.0000  8 Al 2.79-2.97, 4 Ta 2.97
Ta 0.7500 0.2500 0.5000  8 Al 2.79-2.97, 4 Se 2.97
Al 0.2500 0.7500 0.5000  4 Ta 2.79, 4 Se 2.97, 4 Al 2.97
Al 0.0000 0.0000 0.0000  4 Se 2.79, 4 Al 2.97, 4 Ta 2.97

## Properties
E_form (uncorrected) = 0.1388 eV/atom
volume = 69 Å³/cell
symmetry = No. 119


Look up the volume of the first one.
51 Å³/cell


Among the records above, which one has the lowest volume?
Li2NiRu